Li6TlAg3 | Alexandria via LeMat-Bulk | GGA-PBE | relaxed; ρ = 5.2 g/cm³; Fermi-level density of states = 6.5 states/eV/cell; energy of formation from the pure elements = -0.15 eV per atom; symmetry = Cmc2_1 (36)
1.0
-0.154 -4.896 2.494
8.922 -0.803 -1.024
-4.216 3.722 7.047
Li Ag Tl
12 6 2
Direct
0.321 0.101 0.542 Li
0.050 0.352 0.246 Li
0.821 0.542 0.101 Li
0.821 0.899 0.458 Li
0.304 0.682 0.318 Li
0.550 0.648 0.754 Li
0.262 0.995 0.005 Li
0.762 0.005 0.995 Li
0.050 0.754 0.648 Li
0.550 0.246 0.352 Li
0.804 0.318 0.682 Li
0.321 0.458 0.899 Li
0.499 0.297 0.062 Ag
0.999 0.062 0.297 Ag
0.665 0.577 0.423 Ag
0.165 0.423 0.577 Ag
0.499 0.938 0.703 Ag
0.999 0.703 0.938 Ag
0.014 0.157 0.843 Tl
0.514 0.843 0.157 Tl


Li2SbRuRh | Alexandria via LeMat-Bulk | GGA-PBE | relaxed; ρ = 5.2 g/cm³; Fermi-level density of states = 7.3 states/eV/cell; formation energy from raw total energies = 4.73 eV/f.u.; symmetry = P4/mmm (123)
1.0
4.720 0.000 0.000
0.000 4.720 0.000
0.000 0.000 4.865
Li Rh Ru Sb
2 1 1 1
Direct
0.000 0.500 0.000 Li
0.500 0.000 0.000 Li
0.000 0.000 0.500 Rh
0.500 0.500 0.500 Ru
0.000 0.000 0.000 Sb


HfGaAu | Alexandria via LeMat-Bulk | GGA-PBE | relaxed; ρ = 13.6 g/cm³; Fermi-level density of states = 1.4 states/eV/cell; energy of formation from the pure elements = -0.39 eV per atom; symmetry = I4mm (107)
1.0
-0.976 0.091 2.944
-0.976 -2.936 -0.233
6.045 -0.401 0.382
Ga Hf Au
1 1 1
Direct
0.948 0.948 0.896 Ga
0.611 0.611 0.223 Hf
0.291 0.291 0.581 Au